## w
Density functional theory data (meta-GGA SCAN) for a crystal of ZrTe2Au relaxed with PBEsol.

Computed properties:
M_tot: 0.0000 μB/atom
V: 23.49 A^3/atom
SG: Amm2
density of states at the Fermi level: 0.2363 states/eV per atom

Lattice parameters (Å, degrees): 3.932 4.075 6.185 90.00 108.54 90.00
Element x y z (fractional)
Te (0.969, 0.000, 0.938)
Te (0.247, 0.500, 0.494)
Au (0.728, 0.000, 0.457)
Zr (0.556, 0.500, 0.112)

---

## x
Density functional theory data (meta-GGA SCAN) for a crystal of ZrTe2Au relaxed with PBEsol.

Computed properties:
M_tot: 0.0000 μB/atom
V: 22.67 A^3/atom
SG: P2/m
density of states at the Fermi level: 0.7242 states/eV per atom

Lattice parameters (Å, degrees): 3.142 5.086 5.711 90.00 96.54 90.00
Element x y z (fractional)
Au (0.000, 0.500, 0.500)
Te (0.731, 0.000, 0.751)
Te (0.269, 0.000, 0.249)
Zr (0.500, 0.500, 0.000)

---

## y
Density functional theory data (meta-GGA SCAN) for a crystal of ZrTe2Au relaxed with PBEsol.

Computed properties:
M_tot: 0.0000 μB/atom
V: 24.37 A^3/atom
SG: P4mm
density of states at the Fermi level: 0.4581 states/eV per atom

Lattice parameters (Å, degrees): 3.783 3.783 6.811 90.00 90.00 90.00
Element x y z (fractional)
Au (0.500, 0.500, 0.752)
Te (0.000, 0.000, 0.912)
Te (0.500, 0.500, 0.327)
Zr (0.000, 0.000, 0.509)

---

Quick one: least stable of them? x

---

## w
Density functional theory data (meta-GGA SCAN) for a crystal of Ti2Zn2Au relaxed with PBEsol.

Computed properties:
M_tot: 0.0000 μB/atom
V: 15.38 A^3/atom
SG: P4/mbm
density of states at the Fermi level: 0.6878 states/eV per atom

Lattice parameters (Å, degrees): 3.553 6.579 6.579 90.00 90.00 90.00
Element x y z (fractional)
Zn (0.000, 0.369, 0.869)
Zn (0.000, 0.869, 0.631)
Zn (0.000, 0.631, 0.131)
Zn (0.000, 0.131, 0.369)
Au (0.000, 0.000, 0.000)
Au (0.000, 0.500, 0.500)
Ti (0.500, 0.167, 0.667)
Ti (0.500, 0.667, 0.833)
Ti (0.500, 0.833, 0.333)
Ti (0.500, 0.333, 0.167)

---

## x
Density functional theory data (meta-GGA SCAN) for a crystal of Ti2Zn2Au relaxed with PBEsol.

Computed properties:
M_tot: 0.0001 μB/atom
V: 16.19 A^3/atom
SG: I4/mmm
density of states at the Fermi level: 0.6369 states/eV per atom

Lattice parameters (Å, degrees): 3.675 3.675 6.533 106.33 106.33 90.00
Element x y z (fractional)
Zn (0.405, 0.405, 0.811)
Zn (0.595, 0.595, 0.189)
Au (0.000, 0.000, 0.000)
Ti (0.250, 0.750, 0.500)
Ti (0.750, 0.250, 0.500)

---

Quick one: least stable of them? x

---

## w
Density functional theory data (meta-GGA SCAN) for a crystal of Tl5Au relaxed with PBEsol.

Computed properties:
M_tot: 0.0000 μB/atom
V: 26.39 A^3/atom
SG: Cmmm
density of states at the Fermi level: 0.4440 states/eV per atom

Lattice parameters (Å, degrees): 3.510 5.325 8.880 72.55 90.00 90.00
Element x y z (fractional)
Tl (0.500, 0.363, 0.274)
Tl (0.000, 0.186, 0.629)
Tl (0.500, 0.000, 0.000)
Tl (0.000, 0.814, 0.371)
Tl (0.500, 0.637, 0.726)
Au (0.000, 0.500, 0.000)

---

## x
Density functional theory data (meta-GGA SCAN) for a crystal of Tl5Au relaxed with PBEsol.

Computed properties:
M_tot: 0.0000 μB/atom
V: 26.44 A^3/atom
SG: P-62m
density of states at the Fermi level: 0.4902 states/eV per atom

Lattice parameters (Å, degrees): 4.861 6.139 6.139 120.00 90.00 90.00
Element x y z (fractional)
Tl (0.000, 0.305, 0.305)
Tl (0.000, 0.695, 0.000)
Tl (0.000, 0.000, 0.695)
Tl (0.500, 0.333, 0.667)
Tl (0.500, 0.667, 0.333)
Au (0.500, 0.000, 0.000)

---

Quick one: least stable of them? x